1 | LaPrDy2: relaxed, PBE.

* DOS at the Fermi energy: 1.19 states/eV/atom

Unit cell a=3.6488 b=3.6488 c=35.2138 alpha=90.00 beta=90.00 gamma=120.00
Space group R-3m (No. 166, hexagonal axes)
Unique sites:
La 0.0000 0.0000 0.0000 [3 per cell]
Pr 0.0000 0.0000 0.5000 [3 per cell]
Dy 0.0000 0.0000 0.2497 [6 per cell]

2 | LaPrDy2: relaxed, PBE.

* DOS at the Fermi energy: 1.50 states/eV/atom

Unit cell a=3.6520 b=3.6520 c=35.3194 alpha=90.00 beta=90.00 gamma=120.00
Space group R3m (No. 160, hexagonal axes)
Unique sites:
La 0.0000 0.0000 0.0000 [3 per cell]
Pr 0.0000 0.0000 0.1660 [3 per cell]
Dy 0.0000 0.0000 0.4165 [3 per cell]
Dy 0.0000 0.0000 0.5837 [3 per cell]

The data favor 1; the next most stable structure lies 0.8 kJ/mol of atoms above it.

1 | La4Pr6Dy: relaxed, PBE.

* DOS at the Fermi energy: 1.50 states/eV/atom

Unit cell a=6.853 b=6.853 c=17.050 alpha=90.00 beta=90.00 gamma=90.00
Space group I-42m (No. 121)
Unique sites:
La 0.161 0.161 0.379 [8 per cell]
Pr 0.000 0.500 0.000 [4 per cell]
Pr 0.184 0.184 0.181 [8 per cell]
Dy 0.000 0.000 0.000 [2 per cell]

2 | La4Pr6Dy: relaxed, PBE.

* DOS at the Fermi energy: 1.62 states/eV/atom

Unit cell a=6.978 b=6.978 c=16.786 alpha=90.00 beta=90.00 gamma=90.00
Space group I-42m (No. 121)
Unique sites:
La 0.186 0.186 0.320 [8 per cell]
Pr 0.000 0.500 0.000 [4 per cell]
Pr 0.166 0.166 0.114 [8 per cell]
Dy 0.000 0.000 0.500 [2 per cell]

The data favor 1; the next most stable structure lies 1.8 kJ/mol of atoms above it.

1 | LaPr4Dy3: relaxed, PBE.

* DOS at the Fermi energy: 1.82 states/eV/atom

Unit cell a=3.532 b=11.852 c=13.247 alpha=90.00 beta=90.00 gamma=90.00
Space group Immm (No. 71)
Unique sites:
La 0.000 0.000 0.000 [2 per cell]
Pr 0.000 0.251 0.133 [8 per cell]
Dy 0.000 0.000 0.500 [2 per cell]
Dy 0.000 0.500 0.260 [4 per cell]

2 | LaPr4Dy3: relaxed, PBE.

* DOS at the Fermi energy: 1.76 states/eV/atom

Unit cell a=11.799 b=7.405 c=6.388 alpha=90.00 beta=90.00 gamma=90.00
Space group Pmn2_1 (No. 31)
Unique sites:
La 0.000 0.125 0.000 [2 per cell]
Pr 0.000 0.371 0.507 [2 per cell]
Pr 0.000 0.629 0.995 [2 per cell]
Pr 0.246 0.626 0.336 [4 per cell]
Dy 0.000 0.877 0.501 [2 per cell]
Dy 0.250 0.121 0.333 [4 per cell]

The data favor 2; the next most stable structure lies 8.8 kJ/mol of atoms above it.

1 | LaPr7Dy3: relaxed, PBE.

* DOS at the Fermi energy: 1.54 states/eV/atom

Unit cell a=7.3050 b=7.3050 c=8.7432 alpha=90.00 beta=90.00 gamma=120.00
Space group P3m1 (No. 156)
Unique sites:
La 0.0000 0.0000 0.0000 [1 per cell]
Pr 0.3333 0.6667 0.3153 [1 per cell]
Pr 0.3342 0.1671 0.3346 [3 per cell]
Pr 0.5004 0.0007 0.9797 [3 per cell]
Dy 0.1667 0.3335 0.6568 [3 per cell]

2 | LaPr7Dy3: relaxed, PBE.

* DOS at the Fermi energy: 1.39 states/eV/atom

Unit cell a=11.937 b=10.315 c=6.520 alpha=90.00 beta=96.02 gamma=90.00
Space group C2/m (No. 12)
Unique sites:
La 0.000 0.000 0.000 [2 per cell]
Pr 0.000 0.000 0.500 [2 per cell]
Pr 0.234 0.500 0.713 [4 per cell]
Pr 0.247 0.324 0.240 [8 per cell]
Dy 0.000 0.332 0.500 [4 per cell]
Dy 0.000 0.500 0.000 [2 per cell]

The data favor 1; the next most stable structure lies 2.3 kJ/mol of atoms above it.

1 | La2Pr2Dy7: relaxed, PBE.

* DOS at the Fermi energy: 1.68 states/eV/atom

Unit cell a=6.590 b=12.272 c=9.444 alpha=90.00 beta=90.00 gamma=90.00
Space group Cmmm (No. 65)
Unique sites:
La 0.249 0.000 0.000 [4 per cell]
Pr 0.000 0.230 0.500 [4 per cell]
Dy 0.000 0.000 0.320 [4 per cell]
Dy 0.000 0.500 0.500 [2 per cell]
Dy 0.250 0.250 0.181 [8 per cell]

2 | La2Pr2Dy7: relaxed, PBE.

* DOS at the Fermi energy: 1.63 states/eV/atom

Unit cell a=11.447 b=11.711 c=6.133 alpha=90.00 beta=113.75 gamma=90.00
Space group C2/m (No. 12)
Unique sites:
La 0.000 0.211 0.000 [4 per cell]
Pr 0.098 0.500 0.314 [4 per cell]
Dy 0.000 0.000 0.500 [2 per cell]
Dy 0.173 0.237 0.672 [8 per cell]
Dy 0.236 0.000 0.077 [4 per cell]

The data favor 2; the next most stable structure lies 18.7 kJ/mol of atoms above it.

1 | La5Pr12Dy2: relaxed, PBE.

* DOS at the Fermi energy: 1.74 states/eV/atom

Unit cell a=5.285 b=10.527 c=25.254 alpha=90.00 beta=90.00 gamma=90.00
Space group Immm (No. 71)
Unique sites:
La 0.000 0.000 0.000 [2 per cell]
La 0.000 0.000 0.199 [4 per cell]
La 0.000 0.500 0.198 [4 per cell]
Pr 0.000 0.000 0.407 [4 per cell]
Pr 0.000 0.245 0.304 [8 per cell]
Pr 0.000 0.257 0.094 [8 per cell]
Pr 0.000 0.500 0.401 [4 per cell]
Dy 0.000 0.271 0.500 [4 per cell]

2 | La5Pr12Dy2: relaxed, PBE.

* DOS at the Fermi energy: 1.72 states/eV/atom

Unit cell a=19.070 b=7.358 c=10.583 alpha=90.00 beta=111.22 gamma=90.00
Space group C2/m (No. 12)
Unique sites:
La 0.000 0.000 0.000 [2 per cell]
La 0.173 0.500 0.711 [4 per cell]
La 0.184 0.000 0.689 [4 per cell]
Pr 0.002 0.500 0.821 [4 per cell]
Pr 0.023 0.000 0.738 [4 per cell]
Pr 0.159 0.248 0.370 [8 per cell]
Pr 0.167 0.252 0.024 [8 per cell]
Dy 0.000 0.284 0.500 [4 per cell]

The data favor 1; the next most stable structure lies 4.6 kJ/mol of atoms above it.

1 | La12Pr5Dy2: relaxed, PBE.

* DOS at the Fermi energy: 1.55 states/eV/atom

Unit cell a=6.468 b=9.703 c=11.894 alpha=68.51 beta=82.97 gamma=85.21
Space group P-1 (No. 2)
Unique sites:
La 0.027 0.448 0.362 [2 per cell]
La 0.237 0.907 0.469 [2 per cell]
La 0.242 0.164 0.612 [2 per cell]
La 0.242 0.561 0.047 [2 per cell]
La 0.293 0.330 0.867 [2 per cell]
La 0.358 0.950 0.906 [2 per cell]
Pr 0.060 0.188 0.191 [2 per cell]
Pr 0.480 0.716 0.722 [2 per cell]
Pr 0.500 0.500 0.500 [1 per cell]
Dy 0.208 0.807 0.215 [2 per cell]

2 | La12Pr5Dy2: relaxed, PBE.

* DOS at the Fermi energy: 1.70 states/eV/atom

Unit cell a=19.533 b=7.584 c=10.340 alpha=90.00 beta=114.87 gamma=90.00
Space group C2/m (No. 12)
Unique sites:
La 0.009 0.000 0.330 [4 per cell]
La 0.010 0.500 0.219 [4 per cell]
La 0.159 0.250 0.850 [8 per cell]
La 0.168 0.263 0.503 [8 per cell]
Pr 0.000 0.500 0.500 [2 per cell]
Pr 0.174 0.500 0.166 [4 per cell]
Pr 0.175 0.000 0.198 [4 per cell]
Dy 0.000 0.203 0.000 [4 per cell]

The data favor 1; the next most stable structure lies 6.6 kJ/mol of atoms above it.

1 | La2PrDy2: relaxed, PBE.

* DOS at the Fermi energy: 1.65 states/eV/atom

Unit cell a=10.721 b=10.721 c=6.426 alpha=90.00 beta=90.00 gamma=90.00
Space group I4/mcm (No. 140)
Unique sites:
La 0.109 0.391 0.000 [8 per cell]
Pr 0.000 0.000 0.250 [4 per cell]
Dy 0.189 0.311 0.500 [8 per cell]

2 | La2PrDy2: relaxed, PBE.

* DOS at the Fermi energy: 1.78 states/eV/atom

Unit cell a=5.7829 b=5.7829 c=12.2850 alpha=90.00 beta=90.00 gamma=120.00
Space group P6_3/mmc (No. 194)
Unique sites:
La 0.3333 0.6667 0.1012 [4 per cell]
Pr 0.0000 0.0000 0.2500 [2 per cell]
Dy 0.0000 0.0000 0.0000 [2 per cell]
Dy 0.3333 0.6667 0.7500 [2 per cell]

The data favor 2; the next most stable structure lies 22.3 kJ/mol of atoms above it.

1 | La2PrDy: relaxed, PBE.

* DOS at the Fermi energy: 1.94 states/eV/atom

Unit cell a=4.283 b=4.283 c=7.746 alpha=90.00 beta=90.00 gamma=90.00
Space group P4/mmm (No. 123)
Unique sites:
La 0.000 0.000 0.236 [2 per cell]
Pr 0.500 0.500 0.500 [1 per cell]
Dy 0.500 0.500 0.000 [1 per cell]

2 | La2PrDy: relaxed, PBE.

* DOS at the Fermi energy: 1.49 states/eV/atom

Unit cell a=5.216 b=5.216 c=5.169 alpha=90.00 beta=90.00 gamma=90.00
Space group P4/mmm (No. 123)
Unique sites:
La 0.000 0.500 0.000 [2 per cell]
Pr 0.000 0.000 0.500 [1 per cell]
Dy 0.500 0.500 0.500 [1 per cell]

The data favor 2; the next most stable structure lies 7.7 kJ/mol of atoms above it.

1 | LaPrDy6: relaxed, PBE.

* DOS at the Fermi energy: 1.54 states/eV/atom

Unit cell a=5.080 b=5.080 c=10.162 alpha=90.00 beta=90.00 gamma=90.00
Space group P4/mmm (No. 123)
Unique sites:
La 0.000 0.000 0.000 [1 per cell]
Pr 0.000 0.000 0.500 [1 per cell]
Dy 0.000 0.500 0.251 [4 per cell]
Dy 0.500 0.500 0.000 [1 per cell]
Dy 0.500 0.500 0.500 [1 per cell]

2 | LaPrDy6: relaxed, PBE.

* DOS at the Fermi energy: 1.45 states/eV/atom

Unit cell a=10.367 b=6.748 c=8.547 alpha=90.00 beta=104.90 gamma=90.00
Space group C2/m (No. 12)
Unique sites:
La 0.000 0.000 0.000 [2 per cell]
Pr 0.000 0.000 0.500 [2 per cell]
Dy 0.123 0.500 0.421 [4 per cell]
Dy 0.200 0.260 0.799 [8 per cell]

The data favor 1; the next most stable structure lies 32.7 kJ/mol of atoms above it.